Density functional theory data (PBE-GGA) for a geometry-optimized LiU2PaN5 structure.

Unit cell a=6.6402 b=6.6402 c=10.3568 alpha=90.00 beta=90.00 gamma=150.14
Closest atoms and distances in Å follow each position.
Atoms (fractional coordinates):
1 Li 0.0260 0.9740 0.5000  4 N 1.93-1.96
2 Li 0.9740 0.0260 0.0000  4 N 1.93-1.96
3 U 0.3358 0.6642 0.1354  4 N 2.16-2.25
4 U 0.4002 0.5998 0.7586  4 N 2.24-2.30
5 U 0.5998 0.4002 0.2586  4 N 2.24-2.30
6 U 0.6642 0.3358 0.6354  4 N 2.16-2.25
7 Pa 0.3464 0.6536 0.4385  4 N 2.23-2.46
8 Pa 0.6536 0.3464 0.9385  4 N 2.23-2.46
9 N 0.0094 0.9906 0.8192  1 Li 1.93
10 N 0.1700 0.8300 0.1020  1 U 2.16
11 N 0.1783 0.8217 0.4947  1 Li 1.96
12 N 0.2230 0.7770 0.7845  3 U 2.29-2.43, 2 Pa 2.50
13 N 0.4995 0.5005 0.5808  2 Li 1.93
14 N 0.5005 0.4995 0.0808  2 Li 1.93
15 N 0.7770 0.2230 0.2845  3 U 2.29-2.43, 2 Pa 2.50
16 N 0.8217 0.1783 0.9947  1 Li 1.96
17 N 0.8300 0.1700 0.6020  1 U 2.16
18 N 0.9906 0.0094 0.3192  1 Li 1.93

## Properties
**Magnetic moment**: 2.1 μB/f.u.
**Total DFT energy (no corrections)**: -85.718 eV per formula unit
**Uncorrected formation energy**: -1123 meV/atom
**Theoretical density**: 11.45 g/cm³